# 1
# HfZrSiN2 (GGA-PBEsol, relaxed)
data_HfZrSiN2
_chemical_formula_sum 'Hf1 Zr1 Si1 N2'
_cell_length_a 4.022
_cell_length_b 4.022
_cell_length_c 5.966
_cell_angle_alpha 90.00
_cell_angle_beta 90.00
_cell_angle_gamma 90.00
_space_group_name_H-M_alt 'P 4/m m m'
_space_group_IT_number 123
_space_group_name_Hall '-P 4 2'
loop_
_atom_site_label
_atom_site_fract_x
_atom_site_fract_y
_atom_site_fract_z
_atom_site_occupancy
Hf1 0.000 0.000 0.000 1
Zr1 0.000 0.000 0.500 1
Si1 0.500 0.500 0.500 1
N1 0.000 0.500 0.000 1
# Magnetic moment, μB/f.u.: 0.47
# Raw formation energy, eV/atom: 0.676
# Total DFT energy (no corrections), eV for the cell shown: -39.0
# Volume, Å³/cell: 96.52


# 2
# InRu2Se (GGA-PBEsol, relaxed)
data_InRu2Se
_chemical_formula_sum 'In1 Ru2 Se1'
_cell_length_a 2.914
_cell_length_b 2.914
_cell_length_c 7.901
_cell_angle_alpha 90.00
_cell_angle_beta 90.00
_cell_angle_gamma 90.00
_space_group_name_H-M_alt 'P 4 m m'
_space_group_IT_number 99
_space_group_name_Hall 'P 4 -2'
loop_
_atom_site_label
_atom_site_fract_x
_atom_site_fract_y
_atom_site_fract_z
_atom_site_occupancy
In1 0.000 0.000 0.000 1
Ru1 0.000 0.000 0.456 1
Ru2 0.500 0.500 0.241 1
Se1 0.500 0.500 0.650 1
# Magnetic moment, μB/f.u.: 0.00
# Raw formation energy, eV/atom: 0.133
# Total DFT energy (no corrections), eV for the cell shown: -26.6
# Volume, Å³/cell: 67.10


# 3
# AgPt3 (GGA-PBEsol, relaxed)
data_AgPt3
_chemical_formula_sum 'Ag1 Pt3'
_cell_length_a 2.760
_cell_length_b 2.760
_cell_length_c 8.029
_cell_angle_alpha 90.00
_cell_angle_beta 90.00
_cell_angle_gamma 90.00
_space_group_name_H-M_alt 'P 4/m m m'
_space_group_IT_number 123
_space_group_name_Hall '-P 4 2'
loop_
_atom_site_label
_atom_site_fract_x
_atom_site_fract_y
_atom_site_fract_z
_atom_site_occupancy
Ag1 0.000 0.000 0.000 1
Pt1 0.000 0.000 0.500 1
Pt2 0.500 0.500 0.258 1
# Magnetic moment, μB/f.u.: 0.00
# Energy of formation, meV per atom: 32
# Total DFT energy (no corrections), eV for the cell shown: -24.1
# Volume, Å³/cell: 61.18


# 4
# Ce3S4 (GGA-PBEsol, relaxed)
data_Ce3S4
_chemical_formula_sum 'Ce12 S16'
_cell_length_a 8.366
_cell_length_b 8.366
_cell_length_c 8.366
_cell_angle_alpha 90.00
_cell_angle_beta 90.00
_cell_angle_gamma 90.00
_space_group_name_H-M_alt 'I -4 3 d'
_space_group_IT_number 220
_space_group_name_Hall 'I -4bd 2c 3'
loop_
_atom_site_label
_atom_site_fract_x
_atom_site_fract_y
_atom_site_fract_z
_atom_site_occupancy
Ce1 0.000 0.250 0.375 1
S1 0.077 0.077 0.077 1
# Magnetic moment, μB/f.u.: 3.42
# Raw formation energy, eV/atom: -2.051
# Total DFT energy (no corrections), eV for the cell shown: -206.7
# Volume, Å³/cell: 585.46